VASP calculation (GGA-PBEsol) on a relaxed ZnGa2Sn crystal.

Output
density	6.8	g/cm3
M_tot	0.000	μB per atom
VASP energy	-24.201	eV/cell
symmetry	I-42d
energy of formation	0.105	eV/atom
N(E_F)	1.80	states/eV/f.u.

abc: 5.516 6.035 6.035
angles: 77.94 62.80 62.80
Fractional coordinates of all 8 atoms:
Ga 0.875 0.530 0.970
Ga 0.595 0.030 0.530
Ga 0.155 0.970 0.470
Ga 0.375 0.470 0.030
Sn 0.750 0.500 0.500
Sn 0.000 0.000 0.000
Zn 0.250 0.500 0.500
Zn 0.500 0.000 0.000

VASP calculation (GGA-PBEsol) on a relaxed TiTeN3 crystal.

Output
density	6.1	g/cm3
M_tot	0.139	μB per atom
VASP energy	-32.478	eV/cell
formation energy from raw total energies	0.990	eV/atom
symmetry	Pm-3m
N(E_F)	3.39	states/eV/f.u.

abc: 3.904 3.904 3.904
angles: 90.00 90.00 90.00
Each line ends with the local moment (μB).
Fractional coordinates of all 5 atoms:
Te 0.000 0.000 0.000  0.01
Ti 0.500 0.500 0.500  0.96
N 0.000 0.000 0.500  -0.10
N 0.500 0.000 0.000  -0.10
N 0.000 0.500 0.000  -0.10

VASP calculation (GGA-PBEsol) on a relaxed SrLaAu2 crystal.

Output
density	9.5	g/cm3
M_tot	0.000	μB per atom
VASP energy	-17.984	eV/cell
symmetry	Amm2
energy of formation	-0.737	eV/atom
N(E_F)	2.65	states/eV/f.u.

abc: 4.035 4.793 5.963
angles: 90.00 109.78 90.00
Fractional coordinates of all 4 atoms:
Au 0.960 0.000 0.919
Au 0.795 0.500 0.590
La 0.509 0.500 0.018
Sr 0.236 0.000 0.473

VASP calculation (GGA-PBEsol) on a relaxed Ge2As2Pb crystal.

Output
density	7.5	g/cm3
M_tot	0.000	μB per atom
VASP energy	-22.668	eV/cell
symmetry	I4/mmm
energy of formation	0.284	eV/atom
N(E_F)	2.53	states/eV/f.u.

abc: 4.073 4.073 7.262
angles: 106.29 106.29 90.00
Fractional coordinates of all 5 atoms:
As 0.750 0.250 0.500
As 0.250 0.750 0.500
Ge 0.611 0.611 0.222
Ge 0.389 0.389 0.778
Pb 0.000 0.000 0.000

VASP calculation (GGA-PBEsol) on a relaxed NaLi3Pt crystal.

Output
density	3.6	g/cm3
M_tot	0.000	μB per atom
VASP energy	-14.753	eV/cell
symmetry	Pm-3m
energy of formation	-0.098	eV/atom
N(E_F)	1.65	states/eV/f.u.

abc: 4.800 4.800 4.800
angles: 90.00 90.00 90.00
Fractional coordinates of all 5 atoms:
Li 0.000 0.500 0.000
Li 0.000 0.000 0.500
Li 0.500 0.000 0.000
Na 0.500 0.500 0.500
Pt 0.000 0.000 0.000

VASP calculation (GGA-PBEsol) on a relaxed CaRhAu2 crystal.

Output
density	12.6	g/cm3
M_tot	0.000	μB per atom
VASP energy	-17.350	eV/cell
symmetry	R-3m
energy of formation	0.193	eV/atom
N(E_F)	4.56	states/eV/f.u.

abc: 2.973 2.973 9.415
angles: 80.92 80.92 60.00
Fractional coordinates of all 4 atoms:
Au 0.746 0.746 0.763
Au 0.254 0.254 0.237
Rh 0.000 0.000 0.000
Ca 0.500 0.500 0.500

VASP calculation (GGA-PBEsol) on a relaxed Li2Bi2P2O9 crystal.

Output
density	5.4	g/cm3
M_tot	0.000	μB per atom
VASP energy	-202.093	eV/cell
formation energy from raw total energies	-1.981	eV/atom
symmetry	P2_1
N(E_F)	0.00	states/eV/f.u.

abc: 5.676 7.822 8.857
angles: 90.00 90.00 94.14
Fractional coordinates of all 30 atoms:
O 0.429 0.343 0.576
O 0.018 0.152 0.062
O 0.008 0.536 0.490
O 0.272 0.815 0.229
O 0.728 0.185 0.729
O 0.626 0.669 0.449
O 0.301 0.658 0.763
O 0.296 0.076 0.701
O 0.699 0.342 0.263
O 0.207 0.387 0.222
O 0.374 0.331 0.949
O 0.704 0.924 0.201
O 0.571 0.657 0.076
O 0.433 0.937 0.977
O 0.567 0.063 0.477
O 0.992 0.464 0.990
O 0.793 0.613 0.722
O 0.982 0.848 0.562
P 0.484 0.834 0.122
P 0.160 0.328 0.056
P 0.516 0.166 0.622
P 0.840 0.672 0.556
Li 0.386 0.840 0.439
Li 0.447 0.433 0.376
Li 0.553 0.567 0.876
Li 0.614 0.160 0.939
Bi 0.109 0.868 0.819
Bi 0.892 0.584 0.220
Bi 0.891 0.132 0.319
Bi 0.108 0.416 0.720

VASP calculation (GGA-PBEsol) on a relaxed SiSe3N crystal.

Output
density	4.3	g/cm3
M_tot	0.504	μB per atom
VASP energy	-19.076	eV/cell
formation energy from raw total energies	1.350	eV/atom
symmetry	Pm-3m
N(E_F)	3.64	states/eV/f.u.

abc: 4.770 4.770 4.770
angles: 90.00 90.00 90.00
Each line ends with the local moment (μB).
Fractional coordinates of all 5 atoms:
Se 0.000 0.000 0.500  -0.03
Se 0.500 0.000 0.000  -0.03
Se 0.000 0.500 0.000  -0.03
N 0.500 0.500 0.500  1.76
Si 0.000 0.000 0.000  0.01

VASP calculation (GGA-PBEsol) on a relaxed TcIrW2 crystal.

Output
density	18.4	g/cm3
relative energy among the computed polymorphs	0.0569	eV per atom
M_tot	0.000	μB per atom
VASP energy	-48.760	eV/cell
symmetry	I-4m2
energy of formation	-0.014	eV/atom
N(E_F)	3.46	states/eV/f.u.

abc: 3.866 3.866 4.828
angles: 113.60 113.60 90.00
Fractional coordinates of all 4 atoms:
Ir 0.500 0.500 0.000
W 0.250 0.750 0.500
W 0.000 0.000 0.000
Tc 0.750 0.250 0.500

VASP calculation (GGA-PBEsol) on a relaxed LiBiO2 crystal.

Output
density	7.4	g/cm3
M_tot	0.000	μB per atom
VASP energy	-90.985	eV/cell
formation energy from raw total energies	-1.499	eV/atom
symmetry	Ibam
N(E_F)	0.00	states/eV/f.u.

abc: 4.682 5.267 9.706
angles: 105.74 103.96 90.00
Fractional coordinates of all 16 atoms:
Bi 0.588 0.332 0.175
Bi 0.912 0.157 0.825
Bi 0.412 0.668 0.825
Bi 0.088 0.843 0.175
O 0.921 0.761 0.842
O 0.079 0.239 0.158
O 0.298 0.546 0.597
O 0.798 0.050 0.597
O 0.421 0.082 0.842
O 0.579 0.918 0.158
O 0.702 0.454 0.403
O 0.202 0.950 0.403
Li 0.499 0.249 0.498
Li 0.501 0.751 0.502
Li 0.999 0.249 0.498
Li 0.001 0.751 0.502

VASP calculation (GGA-PBEsol) on a relaxed YMn2Rh crystal.

Output
density	7.4	g/cm3
M_tot	1.899	μB per atom
VASP energy	-32.270	eV/cell
symmetry	R-3m
energy of formation	0.553	eV/atom
N(E_F)	5.44	states/eV/f.u.

abc: 2.934 2.934 9.205
angles: 80.83 80.83 60.00
Each line ends with the local moment (μB).
Fractional coordinates of all 4 atoms:
Y 0.000 0.000 0.000  -0.22
Mn 0.239 0.239 0.282  3.49
Mn 0.761 0.761 0.718  3.49
Rh 0.500 0.500 0.500  0.51

VASP calculation (GGA-PBEsol) on a relaxed MnCrFe crystal.

Output
density	8.6	g/cm3
relative energy among the computed polymorphs	0.0408	eV per atom
M_tot	0.001	μB per atom
VASP energy	-28.571	eV/cell
symmetry	Imm2
energy of formation	0.132	eV/atom
N(E_F)	4.10	states/eV/f.u.

abc: 2.437 3.475 4.270
angles: 114.01 106.58 90.00
Fractional coordinates of all 3 atoms:
Cr 0.001 0.001 0.003
Fe 0.670 0.670 0.340
Mn 0.329 0.329 0.658